Entry 1:
# Sr2CaI6

A relaxed Sr2CaI6 crystal (PBEsol, the Alexandria database).

energy above the most stable polymorph in this dataset	21	meV per atom
uncorrected energy	-0.253	Ry/atom
E_form (uncorrected)	-1.625	eV/atom
V	392	Å³/f.u.
spin magnetization	0.00	Bohr magnetons per cell

CIF file:
```
data_Sr2CaI6
_space_group_name_H-M_alt 'P b c n'
_space_group_IT_number 60
_space_group_name_Hall '-P 2n 2ab'
_cell_length_a 7.204
_cell_length_b 27.016
_cell_length_c 8.047
_cell_angle_alpha 90.00
_cell_angle_beta 90.00
_cell_angle_gamma 90.00
loop_
_atom_site_label
_atom_site_fract_x
_atom_site_fract_y
_atom_site_fract_z
Sr1 0.000 0.048 0.250
Sr2 0.000 0.285 0.750
Ca1 0.000 0.381 0.250
I1 0.245 0.462 0.082
I2 0.246 0.370 0.564
I3 0.247 0.301 0.082
```

***

Entry 2:
# SrCaI4

A relaxed SrCaI4 crystal (PBEsol, the Alexandria database).

uncorrected energy	-0.253	Ry/atom
E_form (uncorrected)	-1.604	eV/atom
V	265	Å³/f.u.
spin magnetization	0.00	Bohr magnetons per cell

CIF file:
```
data_SrCaI4
_space_group_name_H-M_alt 'I m m a'
_space_group_IT_number 74
_space_group_name_Hall '-I 2b 2'
_cell_length_a 9.464
_cell_length_b 10.587
_cell_length_c 10.569
_cell_angle_alpha 90.00
_cell_angle_beta 90.00
_cell_angle_gamma 90.00
loop_
_atom_site_label
_atom_site_fract_x
_atom_site_fract_y
_atom_site_fract_z
Sr1 0.250 0.250 0.250
Ca1 0.000 0.250 0.746
I1 0.000 0.043 0.255
I2 0.246 0.250 0.942
```